No. 1
Material: Sm4Ag3Os
Method: DFT, PBE-GGA
State: optimized geometry

Cell lengths 3.5527, 3.5527, 15.4122 Å; angles 90.00, 90.00, 90.00 degrees
Closest atoms and distances in Å follow each position.
Positions (direct):
Os 0.5000 0.5000 0.0000  8 Sm 3.03
Ag 0.5000 0.5000 0.2458  8 Sm 3.18-3.27, 4 Ag 3.55
Ag 0.5000 0.5000 0.5000  8 Sm 3.19, 4 Ag 3.55
Ag 0.5000 0.5000 0.7542  8 Sm 3.18-3.27, 4 Ag 3.55
Sm 0.0000 0.0000 0.8899  4 Os 3.03, 4 Ag 3.27, 1 Sm 3.39
Sm 0.0000 0.0000 0.1101  4 Os 3.03, 4 Ag 3.27, 1 Sm 3.39
Sm 0.0000 0.0000 0.3725  8 Ag 3.18-3.19, 4 Sm 3.55
Sm 0.0000 0.0000 0.6275  8 Ag 3.18-3.19, 4 Sm 3.55

Summary:
formation enthalpy at 0 K	-222	meV per atom
DOS(E_F)	0.674	states/eV/atom
E_tot	-0.18576	hartree per atom



No. 2
Material: Sm6AgOs
Method: DFT, PBE-GGA
State: optimized geometry

Cell lengths 9.6061, 9.6061, 9.6061 Å; angles 149.32, 149.32, 43.95 degrees
Closest atoms and distances in Å follow each position.
Positions (direct):
Sm 0.2484 0.2484 0.0000  12 Sm 3.59-3.75
Sm 0.9028 0.4028 0.5000  2 Ag 3.08, 2 Os 3.08
Sm 0.4028 0.9028 0.5000  2 Ag 3.08, 2 Os 3.08
Sm 0.0972 0.5972 0.5000  2 Os 3.08, 2 Ag 3.08
Sm 0.7516 0.7516 0.0000  12 Sm 3.59-3.75
Sm 0.5972 0.0972 0.5000  2 Os 3.08, 2 Ag 3.08
Ag 0.5000 0.5000 0.0000  8 Sm 3.08
Os 0.0000 0.0000 0.0000  8 Sm 3.08

Summary:
formation enthalpy at 0 K	-44	meV per atom
DOS(E_F)	1.133	states/eV/atom
E_tot	-0.19637	hartree per atom



No. 3
Material: Sm3AgOs
Method: DFT, PBE-GGA
State: optimized geometry

Cell lengths 6.0191, 6.0191, 9.3476 Å; angles 63.16, 63.16, 65.96 degrees
Closest atoms and distances in Å follow each position.
Positions (direct):
Sm 0.3053 0.3053 0.8890  4 Os 3.13, 2 Ag 3.35, 2 Sm 3.44
Sm 0.6947 0.6947 0.1110  4 Os 3.13, 2 Ag 3.35, 2 Sm 3.44
Sm 0.0784 0.0784 0.7166  2 Os 2.84
Sm 0.9216 0.9216 0.2834  2 Os 2.84
Sm 0.7041 0.7041 0.7165  2 Os 2.84
Sm 0.2959 0.2959 0.2835  2 Os 2.84
Ag 0.7065 0.2935 0.5000  1 Ag 2.71
Ag 0.2935 0.7065 0.5000  1 Ag 2.71
Os 0.2500 0.7500 0.0000  8 Sm 2.84-3.13
Os 0.7500 0.2500 0.0000  8 Sm 2.84-3.13

Summary:
formation enthalpy at 0 K	-197	meV per atom
polymorph energy (0 for the lowest one)	0.00	kJ per mole of atoms
DOS(E_F)	0.902	states/eV/atom
E_tot	-0.21478	hartree per atom



No. 4
Material: Sm6Ag2Os
Method: DFT, PBE-GGA
State: optimized geometry

Cell lengths 6.5923, 7.8158, 10.4273 Å; angles 90.00, 86.84, 90.00 degrees
Closest atoms and distances in Å follow each position.
Positions (direct):
Sm 0.8698 0.9762 0.2512  1 Os 2.78, 1 Ag 3.11
Sm 0.8323 0.6805 0.5513  1 Os 2.77, 1 Ag 3.10
Sm 0.8560 0.6779 0.9372  1 Os 2.77, 1 Ag 3.06
Sm 0.6440 0.1779 0.5628  1 Os 2.77, 1 Ag 3.06
Sm 0.6677 0.1805 0.9487  1 Os 2.77, 1 Ag 3.10
Sm 0.6302 0.4762 0.2488  1 Os 2.78, 1 Ag 3.11
Sm 0.1302 0.0238 0.7488  1 Os 2.78, 1 Ag 3.11
Sm 0.1677 0.3195 0.4487  1 Os 2.77, 1 Ag 3.10
Sm 0.1440 0.3221 0.0628  1 Os 2.77, 1 Ag 3.06
Sm 0.3560 0.8221 0.4372  1 Os 2.77, 1 Ag 3.06
Sm 0.3323 0.8195 0.0513  1 Os 2.77, 1 Ag 3.10
Sm 0.3698 0.5238 0.7512  1 Os 2.78, 1 Ag 3.11
Ag 0.9279 0.3853 0.7458  6 Sm 3.06-3.19
Ag 0.5721 0.8853 0.7542  6 Sm 3.06-3.19
Ag 0.4279 0.1147 0.2458  6 Sm 3.06-3.19
Ag 0.0721 0.6147 0.2542  6 Sm 3.06-3.19
Os 0.5000 0.5000 0.0000  6 Sm 2.77-2.78
Os 0.0000 0.0000 0.5000  6 Sm 2.77-2.78

Summary:
formation enthalpy at 0 K	-121	meV per atom
polymorph energy (0 for the lowest one)	0.00	kJ per mole of atoms
DOS(E_F)	1.063	states/eV/atom
E_tot	-0.18920	hartree per atom



No. 5
Material: Sm6Ag2Os
Method: DFT, PBE-GGA
State: optimized geometry

Cell lengths 8.6372, 8.6372, 8.6372 Å; angles 72.13, 70.92, 111.48 degrees
Closest atoms and distances in Å follow each position.
Positions (direct):
Sm 0.1679 0.7517 0.0804  1 Os 3.03, 3 Ag 3.15-3.34, 1 Sm 3.37
Sm 0.8321 0.2483 0.9196  1 Os 3.03, 3 Ag 3.15-3.34, 1 Sm 3.37
Sm 0.1679 0.2483 0.5838  1 Os 3.03, 3 Ag 3.15-3.34, 1 Sm 3.37
Sm 0.8321 0.7517 0.4162  1 Os 3.03, 3 Ag 3.15-3.34, 1 Sm 3.37
Sm 0.4480 0.2648 0.8168  2 Os 2.93-3.16, 1 Ag 3.10
Sm 0.5520 0.7352 0.1832  2 Os 2.93-3.16, 1 Ag 3.10
Sm 0.0816 0.2648 0.1832  2 Os 2.93-3.16, 1 Ag 3.10
Sm 0.9184 0.7352 0.8168  2 Os 2.93-3.16, 1 Ag 3.10
Sm 0.3338 0.0626 0.2712  3 Ag 3.01-3.18, 1 Os 3.20, 1 Sm 3.23
Sm 0.6662 0.9374 0.7288  3 Ag 3.01-3.18, 1 Os 3.20, 1 Sm 3.23
Sm 0.3338 0.6050 0.7288  3 Ag 3.01-3.18, 1 Os 3.20, 1 Sm 3.23
Sm 0.6662 0.3950 0.2712  3 Ag 3.01-3.18, 1 Os 3.20, 1 Sm 3.23
Ag 0.1381 0.6381 0.5000  1 Ag 2.69, 2 Sm 3.01
Ag 0.8619 0.3619 0.5000  1 Ag 2.69, 2 Sm 3.01
Ag 0.3556 0.0000 0.6444  1 Ag 2.89, 8 Sm 3.10-3.18
Ag 0.6444 0.0000 0.3556  1 Ag 2.89, 8 Sm 3.10-3.18
Os 0.5000 0.5000 0.0000  8 Sm 2.93-3.20
Os 0.0000 0.0000 0.0000  8 Sm 3.03-3.16

Summary:
formation enthalpy at 0 K	-117	meV per atom
polymorph energy (0 for the lowest one)	0.41	kJ per mole of atoms
DOS(E_F)	0.864	states/eV/atom
E_tot	-0.18904	hartree per atom



No. 6
Material: Sm2AgOs
Method: DFT, PBE-GGA
State: optimized geometry

Cell lengths 3.4700, 3.4700, 7.7820 Å; angles 90.00, 90.00, 90.00 degrees
Closest atoms and distances in Å follow each position.
Positions (direct):
Os 0.5000 0.5000 0.0000  8 Sm 3.00
Ag 0.5000 0.5000 0.5000  8 Sm 3.28, 4 Ag 3.47
Sm 0.0000 0.0000 0.7788  4 Os 3.00, 4 Ag 3.28
Sm 0.0000 0.0000 0.2212  4 Os 3.00, 4 Ag 3.28

Summary:
formation enthalpy at 0 K	-201	meV per atom
DOS(E_F)	0.580	states/eV/atom
E_tot	-0.22345	hartree per atom



No. 7
Material: Sm3Ag2Os
Method: DFT, PBE-GGA
State: optimized geometry

Cell lengths 5.0912, 7.9845, 7.4834 Å; angles 90.00, 90.00, 71.41 degrees
Closest atoms and distances in Å follow each position.
Positions (direct):
Sm 0.8270 0.3462 0.7729  3 Os 2.99-3.06, 5 Ag 3.12-3.32
Sm 0.4999 0.0000 0.2316  2 Os 3.03, 6 Ag 3.08-3.24
Sm 0.1730 0.6538 0.2271  3 Os 2.99-3.06, 5 Ag 3.12-3.32
Sm 0.8268 0.3462 0.2271  3 Os 2.99-3.06, 5 Ag 3.12-3.32
Sm 0.1732 0.6538 0.7729  3 Os 2.99-3.06, 5 Ag 3.12-3.32
Sm 0.5001 0.0000 0.7684  2 Os 3.03, 6 Ag 3.08-3.24
Ag 0.0000 0.0000 0.0000  8 Sm 3.08-3.12
Ag 0.0000 0.0000 0.5000  8 Sm 3.24-3.32, 4 Ag 3.56
Ag 0.3351 0.3297 0.5000  8 Sm 3.19-3.27, 2 Ag 3.56
Ag 0.6649 0.6703 0.5000  8 Sm 3.19-3.27, 2 Ag 3.56
Os 0.3360 0.3279 0.0000  8 Sm 2.99-3.06
Os 0.6640 0.6721 0.0000  8 Sm 2.99-3.06

Summary:
formation enthalpy at 0 K	-224	meV per atom
DOS(E_F)	0.607	states/eV/atom
E_tot	-0.19864	hartree per atom



No. 8
Material: Sm8Ag2Os
Method: DFT, PBE-GGA
State: optimized geometry

Cell lengths 6.2828, 8.8805, 8.8805 Å; angles 127.71, 103.97, 103.97 degrees
Closest atoms and distances in Å follow each position.
Positions (direct):
Sm 0.6548 0.3887 0.1543  1 Os 2.85, 1 Ag 3.02
Sm 0.6548 0.1543 0.3887  1 Os 2.85, 1 Ag 3.02
Sm 0.1391 0.2811 0.2811  1 Os 2.68
Sm 0.9925 0.1900 0.8069  4 Ag 3.39-3.59, 1 Os 3.50, 6 Sm 3.54-3.68
Sm 0.9925 0.8069 0.1900  4 Ag 3.39-3.59, 1 Os 3.50, 6 Sm 3.54-3.68
Sm 0.7609 0.7283 0.7283  1 Os 2.71
Sm 0.2880 0.8473 0.6191  1 Os 2.87, 1 Ag 3.08
Sm 0.2880 0.6191 0.8473  1 Os 2.87, 1 Ag 3.08
Ag 0.4794 0.7187 0.2912  4 Sm 3.02-3.27
Ag 0.4794 0.2912 0.7187  4 Sm 3.02-3.27
Os 0.2705 0.0083 0.0083  6 Sm 2.68-2.87

Summary:
formation enthalpy at 0 K	-62	meV per atom
polymorph energy (0 for the lowest one)	5.00	kJ per mole of atoms
DOS(E_F)	1.141	states/eV/atom
E_tot	-0.18496	hartree per atom



No. 9
Material: Sm5Ag4Os
Method: DFT, PBE-GGA
State: optimized geometry

Cell lengths 3.5832, 3.5832, 19.1192 Å; angles 90.00, 90.00, 90.00 degrees
Closest atoms and distances in Å follow each position.
Positions (direct):
Sm 0.5000 0.5000 0.0883  4 Os 3.04, 4 Ag 3.27, 1 Sm 3.38
Sm 0.5000 0.5000 0.2966  8 Ag 3.18-3.20
Sm 0.5000 0.5000 0.5000  8 Ag 3.19
Sm 0.5000 0.5000 0.7034  8 Ag 3.18-3.20
Sm 0.5000 0.5000 0.9117  4 Os 3.04, 4 Ag 3.27, 1 Sm 3.38
Ag 0.0000 0.0000 0.1963  8 Sm 3.18-3.27
Ag 0.0000 0.0000 0.3985  8 Sm 3.19-3.20
Ag 0.0000 0.0000 0.6015  8 Sm 3.19-3.20
Ag 0.0000 0.0000 0.8037  8 Sm 3.18-3.27
Os 0.0000 0.0000 0.0000  8 Sm 3.04

Summary:
formation enthalpy at 0 K	-231	meV per atom
DOS(E_F)	0.676	states/eV/atom
E_tot	-0.17839	hartree per atom



No. 10
Material: Sm3AgOs
Method: DFT, PBE-GGA
State: optimized geometry

Cell lengths 7.4768, 8.7705, 8.7705 Å; angles 78.71, 89.98, 89.98 degrees
Closest atoms and distances in Å follow each position.
Positions (direct):
Sm 0.5969 0.8210 0.9606  2 Os 2.85
Sm 0.9031 0.0394 0.1790  2 Os 2.85
Sm 0.4031 0.1790 0.0394  2 Os 2.85
Sm 0.0969 0.9606 0.8210  2 Os 2.85
Sm 0.7884 0.4365 0.0629  3 Os 2.90-2.98
Sm 0.7116 0.9371 0.5635  3 Os 2.90-2.98
Sm 0.2116 0.5635 0.9371  3 Os 2.90-2.98
Sm 0.2884 0.0629 0.4365  3 Os 2.90-2.98
Sm 0.5969 0.5400 0.6788  2 Os 2.85
Sm 0.9031 0.3212 0.4600  2 Os 2.85
Sm 0.4031 0.4600 0.3212  2 Os 2.85
Sm 0.0969 0.6788 0.5400  2 Os 2.85
Ag 0.2500 0.8231 0.1769  8 Sm 3.22-3.40
Ag 0.7500 0.1769 0.8231  8 Sm 3.22-3.40
Ag 0.2500 0.3234 0.6766  8 Sm 3.22-3.41
Ag 0.7500 0.6766 0.3234  8 Sm 3.22-3.41
Os 0.8791 0.6980 0.8024  7 Sm 2.85-2.98
Os 0.6208 0.1976 0.3020  7 Sm 2.85-2.98
Os 0.1209 0.3020 0.1976  7 Sm 2.85-2.98
Os 0.3792 0.8024 0.6980  7 Sm 2.85-2.98

Summary:
formation enthalpy at 0 K	-90	meV per atom
polymorph energy (0 for the lowest one)	10.29	kJ per mole of atoms
DOS(E_F)	0.682	states/eV/atom
E_tot	-0.21086	hartree per atom



No. 11
Material: Sm12Ag6Os
Method: DFT, PBE-GGA
State: optimized geometry

Cell lengths 8.2338, 8.2338, 8.2338 Å; angles 92.89, 92.89, 92.89 degrees
Closest atoms and distances in Å follow each position.
Positions (direct):
Sm 0.8034 0.5599 0.4570  4 Ag 3.12-3.28, 1 Sm 3.48
Sm 0.4570 0.8034 0.5599  4 Ag 3.12-3.28, 1 Sm 3.48
Sm 0.5599 0.4570 0.8034  4 Ag 3.12-3.28, 1 Sm 3.48
Sm 0.1966 0.4401 0.5430  4 Ag 3.12-3.28, 1 Sm 3.48
Sm 0.5430 0.1966 0.4401  4 Ag 3.12-3.28, 1 Sm 3.48
Sm 0.4401 0.5430 0.1966  4 Ag 3.12-3.28, 1 Sm 3.48
Sm 0.9714 0.0983 0.3207  1 Os 2.75
Sm 0.9017 0.6793 0.0286  1 Os 2.75
Sm 0.6793 0.0286 0.9017  1 Os 2.75
Sm 0.0286 0.9017 0.6793  1 Os 2.75
Sm 0.0983 0.3207 0.9714  1 Os 2.75
Sm 0.3207 0.9714 0.0983  1 Os 2.75
Ag 0.6673 0.8640 0.2615  8 Sm 3.09-3.32
Ag 0.7385 0.3327 0.1360  8 Sm 3.09-3.32
Ag 0.1360 0.7385 0.3327  8 Sm 3.09-3.32
Ag 0.3327 0.1360 0.7385  8 Sm 3.09-3.32
Ag 0.2615 0.6673 0.8640  8 Sm 3.09-3.32
Ag 0.8640 0.2615 0.6673  8 Sm 3.09-3.32
Os 0.0000 0.0000 0.0000  6 Sm 2.75

Summary:
formation enthalpy at 0 K	-75	meV per atom
DOS(E_F)	0.958	states/eV/atom
E_tot	-0.16710	hartree per atom



No. 12
Material: Sm2AgOs
Method: DFT, PBE-GGA
State: optimized geometry

Cell lengths 4.1471, 4.1471, 7.6453 Å; angles 74.26, 74.26, 60.00 degrees
Closest atoms and distances in Å follow each position.
Positions (direct):
Os 0.0000 0.0000 0.0000  6 Sm 2.82
Ag 0.5000 0.5000 0.5000  6 Sm 3.21
Sm 0.7354 0.7354 0.7938  3 Os 2.82
Sm 0.2646 0.2646 0.2062  3 Os 2.82

Summary:
formation enthalpy at 0 K	51	meV per atom
DOS(E_F)	0.578	states/eV/atom
E_tot	-0.21421	hartree per atom